1.
PBE HoTmZn4, optimized geometry; excess energy over the best structure of this formula in the dataset = 46 meV per atom; ΔE_f = -32.0 kJ per mole of atoms
1.0
-1.5914 4.7159 -2.1604
-3.2914 0.0346 -4.3134
-5.1492 1.6263 0.5296
Ho Zn Tm
1 4 1
direct
0.2500 0.2500 0.2500
0.6250 0.1249 0.6250
0.6250 0.6250 0.6250
0.1249 0.6250 0.6250
0.6250 0.6250 0.1249
0.0000 0.0000 0.0000

---

2.
PBE Cs3Rb12Br5, optimized geometry; raw formation energy = -0.733 eV/atom
1.0
-8.6502 0.2480 -18.3918
-12.7105 -8.5647 13.3505
4.1100 19.0389 5.8116
Rb Br Cs
48 20 12
direct
0.5899 0.5953 0.9090
0.9101 0.5910 0.9047
0.9946 0.4047 0.8137
0.0054 0.4101 0.3191
0.9047 0.8137 0.4946
0.5899 0.9946 0.1809
0.5953 0.5899 0.4090
0.5054 0.8191 0.9101
0.6809 0.5910 0.1863
0.9090 0.8137 0.8191
0.4090 0.0899 0.5953
0.1863 0.0910 0.6809
0.8191 0.3137 0.9090
0.3137 0.8191 0.4090
0.4101 0.4047 0.0910
0.5953 0.0054 0.6863
0.5910 0.6809 0.6863
0.3137 0.4946 0.4047
0.4090 0.3191 0.3137
0.9101 0.3191 0.5054
0.0054 0.5953 0.1863
0.9090 0.0953 0.5899
0.0910 0.1863 0.1809
0.0910 0.9047 0.4101
0.4047 0.4101 0.5910
0.8137 0.9090 0.3191
0.9946 0.5899 0.6809
0.3191 0.4090 0.8137
0.4946 0.3137 0.9047
0.0953 0.1863 0.5054
0.5054 0.6863 0.0953
0.4101 0.0054 0.8191
0.6863 0.5054 0.5953
0.4946 0.1809 0.0899
0.0953 0.9090 0.0899
0.1809 0.6863 0.0910
0.8137 0.9047 0.9946
0.6863 0.1809 0.5910
0.1863 0.0953 0.0054
0.0899 0.6809 0.4946
0.6809 0.0899 0.9946
0.1809 0.4946 0.5899
0.5910 0.9101 0.4047
0.9047 0.0910 0.9101
0.4047 0.9946 0.3137
0.3191 0.9101 0.0054
0.8191 0.5054 0.4101
0.0899 0.4090 0.0953
0.8750 0.2500 0.6250
0.0000 0.0000 0.5000
0.2500 0.8750 0.1250
0.5000 0.0000 0.5000
0.6250 0.7500 0.8750
0.0000 0.0000 0.0000
0.6250 0.8750 0.2500
0.3750 0.1250 0.7500
0.1250 0.3750 0.2500
0.0000 0.5000 0.5000
0.7500 0.6250 0.3750
0.5000 0.0000 0.0000
0.7500 0.1250 0.8750
0.3750 0.2500 0.1250
0.5000 0.5000 0.5000
0.2500 0.3750 0.6250
0.1250 0.7500 0.3750
0.8750 0.6250 0.7500
0.5000 0.5000 0.0000
0.0000 0.5000 0.0000
0.1250 0.2500 0.8750
0.2500 0.6250 0.8750
0.7500 0.8750 0.6250
0.8750 0.7500 0.1250
0.6250 0.2500 0.3750
0.7500 0.3750 0.1250
0.6250 0.3750 0.7500
0.3750 0.7500 0.6250
0.2500 0.1250 0.3750
0.1250 0.8750 0.7500
0.8750 0.1250 0.2500
0.3750 0.6250 0.2500